The following is a PBE calculation of an optimized crystal structure of LiU3In3Te8, from Alexandria.

```
LiU3In3Te8
1.0
8.649 0.000 0.000
-4.324 7.488 -0.030
0.000 -4.959 8.197
In Te U Li
3 8 3 1
Cartesian
0.000 0.000 0.000 In
2.162 3.744 -0.015 In
-2.162 3.744 -0.015 In
2.131 3.750 5.819 Te
0.000 0.059 5.833 Te
4.324 0.024 5.915 Te
6.456 -1.221 2.347 Te
2.193 -1.221 2.347 Te
4.324 2.470 2.333 Te
0.000 2.505 2.251 Te
-2.131 3.750 5.819 Te
-2.162 1.265 4.083 U
4.324 -2.479 4.098 U
2.162 1.265 4.083 U
0.000 -2.479 4.098 Li
```

Calculated density in g cm⁻³: 6.5
Raw formation energy in eV/atom: -0.496
SG: R-3m
Total energy in eV/f.u.: -76.6